No. 1
{
  "formula": "ZrCuPt2",
  "functional": "PBE",
  "state": "optimized geometry",
  "cell": [[1.4309, 0.8261, 9.2440], [-1.4309, 0.8261, 9.2440], [0.0000, -1.6522, 9.2440]],
  "species": ["Zr", "Cu", "Pt", "Pt"],
  "frac_coords": [[0.0000, 0.0000, 0.0000], [0.7527, 0.7527, 0.7527], [0.2483, 0.2483, 0.2483], [0.4947, 0.4947, 0.4947]],
  "rho_g_cm3": 13.802,
  "delta_e_f_mev_per_atom": -167,
  "total_energy_ev_per_atom": -6.348,
  "total_magnetization_mub_per_fu": 0.0
}

No. 2
{
  "formula": "In2TeP",
  "functional": "PBE",
  "state": "optimized geometry",
  "cell": [[3.0644, 0.0000, 0.0000], [0.0000, 5.7071, 0.0000], [-0.3624, 0.0000, 5.8339]],
  "species": ["In", "In", "Te", "P"],
  "frac_coords": [[0.2316, 0.0000, 0.2417], [0.7684, 0.0000, 0.7583], [0.0000, 0.5000, 0.5000], [0.0000, 0.5000, 0.0000]],
  "rho_g_cm3": 6.318,
  "total_energy_ev_per_atom": -3.271,
  "total_magnetization_mub_per_fu": 0.0,
  "raw_formation_energy_ev_per_atom": 0.24,
  "e_above_lowest_polymorph_ev_per_atom": 0.389
}

No. 3
{
  "formula": "MgCd2In",
  "functional": "PBE",
  "state": "optimized geometry",
  "cell": [[2.9330, -1.6134, 0.0000], [2.9330, 1.6134, 0.0000], [-1.4614, 0.0000, 9.9999]],
  "species": ["Mg", "Cd", "Cd", "In"],
  "frac_coords": [[0.0000, 0.0000, 0.0000], [0.3908, 0.3908, 0.2389], [0.6092, 0.6092, 0.7613], [0.1661, 0.1661, 0.4990]],
  "rho_g_cm3": 6.385,
  "delta_e_f_mev_per_atom": -13,
  "total_energy_ev_per_atom": -1.554,
  "total_magnetization_mub_per_fu": 0.0
}

No. 4
{
  "formula": "LiAlTl2Se",
  "functional": "PBE",
  "state": "optimized geometry",
  "cell": [[6.0265, 0.0000, 0.0000], [0.0000, 6.0265, 0.0000], [0.0000, 0.0000, 4.4804]],
  "species": ["Li", "Al", "Tl", "Tl", "Se"],
  "frac_coords": [[0.0000, 0.0000, 0.0000], [0.5000, 0.5000, 0.0000], [0.0000, 0.5000, 0.5000], [0.5000, 0.0000, 0.5000], [0.0000, 0.0000, 0.5000]],
  "rho_g_cm3": 5.323,
  "total_energy_ev_per_atom": -2.680,
  "total_magnetization_mub_per_fu": 0.0,
  "raw_formation_energy_ev_per_atom": 0.09
}